Density functional theory data (PBE-GGA) for a geometry-optimized TiCo3H structure.

CIF file:
```
data_TiCo3H
_chemical_formula_sum 'Ti4 Co12 H4'
_symmetry_space_group_name_H-M 'P 1'
_symmetry_Int_Tables_number 1
_cell_length_a 7.215
_cell_length_b 7.215
_cell_length_c 4.602
_cell_angle_alpha 101.94
_cell_angle_beta 101.94
_cell_angle_gamma 60.51
loop_
_symmetry_equiv_pos_as_xyz
'x,y,z'
loop_
_atom_site_label
_atom_site_type_symbol
_atom_site_fract_x
_atom_site_fract_y
_atom_site_fract_z
Ti1 Ti 0.113 0.887 0.750
Ti2 Ti 0.349 0.651 0.250
Ti3 Ti 0.651 0.349 0.750
Ti4 Ti 0.887 0.113 0.250
Co1 Co 0.069 0.588 0.887
Co2 Co 0.078 0.250 0.639
Co3 Co 0.250 0.078 0.139
Co4 Co 0.257 0.411 0.432
Co5 Co 0.411 0.257 0.932
Co6 Co 0.412 0.931 0.613
Co7 Co 0.588 0.069 0.387
Co8 Co 0.589 0.743 0.068
Co9 Co 0.743 0.589 0.568
Co10 Co 0.750 0.922 0.861
Co11 Co 0.922 0.750 0.361
Co12 Co 0.931 0.412 0.113
H1 H 0.319 0.508 0.802
H2 H 0.492 0.681 0.698
H3 H 0.508 0.319 0.302
H4 H 0.681 0.492 0.198
```

## Properties
Size of the total moment = 2.21 μB/f.u.
Calculated density = 7.40 Mg/m³
Total energy = -6.574 eV/atom
SG = C2/c
Energy above the lowest structure with this stoichiometry = 214.3 meV/atom